Density functional theory data (PBE) for Ti2AsPd8 after structural relaxation.

Cell: 4.5161 5.6570 13.6038 Å, 90.00 90.00 90.00°
Space group Immm (No. 71)
Inequivalent atoms, fractional coordinates:
Ti1 0.0000 0.0000 0.1909 x4
As1 0.0000 0.0000 0.5000 x2
Pd1 0.0000 0.2459 0.0000 x4
Pd2 0.0000 0.2620 0.3622 x8
Pd3 0.0000 0.5000 0.1887 x4

Results
Calculated volume (Å³/cell): 347.5
Total magnetization (μB per cell): 0.0
DOS(E_F) (states/eV per cell): 7.23
Uncorrected energy (eV/atom): -6.145
DFT formation energy (eV/atom): -0.510